Entry 1:
Here is an optimized crystal structure of MgMnB3 from the Alexandria database. Energies are from GGA-PBE.

M_tot (μB per formula unit): 0.1
Total energy (eV per cell): -17.28
Offset from the most stable computed form (meV/atom): 2192
ΔH_f (0 K) (eV per atom): 2.704

```
5
Lattice="4.115 0.000 0.000 0.000 4.115 0.000 0.000 0.000 4.115" Properties=species:S:1:pos:R:3 pbc="T T T"
Mg 0.000 0.000 0.000
Mn 2.057 2.057 2.057
B 0.000 0.000 2.057
B 0.000 2.057 0.000
B 2.057 0.000 0.000
```


Entry 2:
Here is an optimized crystal structure of Mg2MnB from the Alexandria database. Energies are from GGA-PBE.

M_tot (μB per formula unit): 2.8
Total energy (eV per cell): -34.31
ΔH_f (0 K) (eV per atom): 0.470

```
8
Lattice="-4.241 4.241 2.029 4.241 -4.241 2.029 4.241 4.241 -2.029" Properties=species:S:1:pos:R:3 pbc="T T T"
Mg 0.874 2.121 0.507
Mg -2.121 3.367 1.522
Mg -0.874 6.362 0.507
Mg 2.121 5.115 1.522
Mn 4.241 0.000 1.015
Mn 0.000 0.000 2.029
B 0.000 0.000 0.000
B 0.000 4.241 1.015
```


Entry 3:
Here is an optimized crystal structure of MgMnBN2 from the Alexandria database. Energies are from GGA-PBE.

M_tot (μB per formula unit): 3.9
Total energy (eV per cell): -28.10
Raw formation energy (meV per atom): 1198.2

```
5
Lattice="3.627 0.000 0.000 0.000 3.627 0.000 0.000 0.000 3.892" Properties=species:S:1:pos:R:3 pbc="T T T"
Mg 0.000 0.000 0.000
Mn 1.814 1.814 0.000
B 1.814 1.814 1.946
N 0.000 1.814 1.946
N 1.814 0.000 1.946
```


Entry 4:
Here is an optimized crystal structure of Na2MgMnB from the Alexandria database. Energies are from GGA-PBE.

M_tot (μB per formula unit): 3.1
Total energy (eV per cell): -15.92
ΔH_f (0 K) (eV per atom): 0.832

```
5
Lattice="5.734 0.000 0.000 0.000 5.734 0.000 0.000 0.000 3.850" Properties=species:S:1:pos:R:3 pbc="T T T"
Na 0.000 2.867 0.000
Na 2.867 0.000 0.000
Mg 0.000 0.000 1.925
Mn 2.867 2.867 0.000
B 2.867 2.867 1.925
```


- Among the records above, which one has the highest M_tot?
  MgMnBN2


- Which value of total energy does entry 3 give?
  -28.10 eV per cell


- Which value of total energy does entry 4 give?
  -15.92 eV per cell


- Among the records above, which one has the highest total energy?
  Na2MgMnB